DFT (PBE+U) results for a geometry-optimized SrMoWO6 structure.

Its calculated total energy is -129.3 eV for the cell shown.

The structure belongs to space group P4_2nm (No. 102); the cell edges are 5.009, 5.009 and 9.820 Å and the angles 90.00°, 90.00° and 90.00°. The inequivalent atoms are Sr at (0.000, 0.000, 0.000), Mo at (0.000, 0.000, 0.672), W at (0.000, 0.000, 0.336), O at (0.168, 0.168, 0.496), O at (0.214, 0.214, 0.202) and O at (0.230, 0.230, 0.810).